## FeAgMoF6 (PBE+U)

Data for FeAgMoF6 after structural relaxation.

Cell and atoms, written as CIF:
```
data_FeAgMoF6
_symmetry_space_group_name_H-M 'P 1'
_symmetry_Int_Tables_number 1
_symmetry_space_group_name_Hall 'P 1'
_cell_length_a 5.662
_cell_length_b 5.662
_cell_length_c 10.169
_cell_angle_alpha 90.00
_cell_angle_beta 90.00
_cell_angle_gamma 120.00
loop_
_atom_site_label
_atom_site_type_symbol
_atom_site_fract_x
_atom_site_fract_y
_atom_site_fract_z
Mo1 Mo 0.333 0.667 0.750
Mo2 Mo 0.667 0.333 0.250
F1 F 0.639 0.000 0.357
F2 F 0.000 0.639 0.857
F3 F 0.639 0.639 0.143
F4 F 0.000 0.361 0.643
F5 F 0.361 0.000 0.643
F6 F 0.361 0.361 0.857
F7 F 0.639 0.000 0.857
F8 F 0.361 0.361 0.357
F9 F 0.639 0.639 0.643
F10 F 0.000 0.639 0.357
F11 F 0.361 0.000 0.143
F12 F 0.000 0.361 0.143
Ag1 Ag 0.000 0.000 0.500
Ag2 Ag 0.000 0.000 0.000
Fe1 Fe 0.333 0.667 0.250
Fe2 Fe 0.667 0.333 0.750
```

- V: 15.682 Å³ per atom
- Size of the total moment: 14.00 Bohr magnetons per cell
- Calculated total energy: -90.45 eV for the cell shown
- SG: P-31c